[1]
TcNiAgAs after structural relaxation, computed with PBE.

- size of the total moment (μB per cell) = 0.01
- DFT total energy (eV per atom) = -5.5750

Unit cell a=6.141 b=6.141 c=6.141 alpha=90.00 beta=90.00 gamma=90.00
Space group F-43m (No. 216)
Unique sites:
Tc (0.000, 0.000, 0.000) x4
Ni (0.000, 0.000, 0.500) x4
Ag (0.250, 0.250, 0.750) x4
As (0.250, 0.250, 0.250) x4


[2]
Cu9Sn after structural relaxation, computed with PBE.

- energy above the lowest structure with this stoichiometry (meV/atom) = 34.5
- DFT total energy (eV per atom) = -3.6518

Unit cell a=2.697 b=2.697 c=45.559 alpha=90.00 beta=90.00 gamma=90.00
Space group P4/nmm (No. 129, origin choice 2)
Unique sites:
Cu (0.250, 0.250, 0.018) x2
Cu (0.250, 0.250, 0.090) x2
Cu (0.250, 0.250, 0.162) x2
Cu (0.250, 0.250, 0.235) x2
Cu (0.250, 0.250, 0.309) x2
Cu (0.250, 0.250, 0.728) x2
Cu (0.250, 0.250, 0.801) x2
Cu (0.250, 0.250, 0.874) x2
Cu (0.250, 0.250, 0.946) x2
Sn (0.250, 0.250, 0.643) x2


[3]
NdZr3 after structural relaxation, computed with PBE.

- size of the total moment (μB per cell) = 0.01
- energy above the lowest structure with this stoichiometry (meV/atom) = 0.8
- DFT total energy (eV per atom) = -7.4758

Unit cell a=5.320 b=6.655 c=5.800 alpha=90.00 beta=90.00 gamma=90.00
Space group Pmmn (No. 59, origin choice 2)
Unique sites:
Nd (0.250, 0.250, 0.155) x2
Zr (0.250, 0.006, 0.656) x4
Zr (0.250, 0.750, 0.197) x2


[4]
Nd2DyAl3Si2Pt after structural relaxation, computed with PBE.

- size of the total moment (μB per cell) = 0.01
- DFT total energy (eV per atom) = -5.5221

Unit cell a=4.290 b=12.244 c=7.028 alpha=90.00 beta=90.00 gamma=90.00
Space group Amm2 (No. 38)
Unique sites:
Nd (0.000, 0.209, 0.000) x4
Dy (0.000, 0.000, 0.626) x2
Al (0.500, 0.000, 0.974) x2
Al (0.500, 0.115, 0.329) x4
Si (0.500, 0.161, 0.707) x4
Pt (0.000, 0.000, 0.217) x2


[5]
Sc4NiSnN2 after structural relaxation, computed with PBE.

- size of the total moment (μB per cell) = 0.02
- DFT total energy (eV per atom) = -7.5728

Unit cell a=3.2473 b=3.2473 c=13.7046 alpha=90.00 beta=90.00 gamma=120.00
Space group P-6m2 (No. 187)
Unique sites:
Sc (0.0000, 0.0000, 0.1382) x2
Sc (0.6667, 0.3333, 0.3198) x2
Ni (0.6667, 0.3333, 0.0000) x1
Sn (0.0000, 0.0000, 0.5000) x1
N (0.3333, 0.6667, 0.2389) x2


[6]
HfZnFeNi after structural relaxation, computed with PBE.

- size of the total moment (μB per cell) = 9.27
- energy above the lowest structure with this stoichiometry (meV/atom) = 228.5
- DFT total energy (eV per atom) = -6.2785

Unit cell a=6.116 b=6.116 c=6.116 alpha=90.00 beta=90.00 gamma=90.00
Space group F-43m (No. 216)
Unique sites:
Hf (0.000, 0.000, 0.000) x4
Zn (0.250, 0.250, 0.250) x4
Fe (0.250, 0.250, 0.750) x4
Ni (0.000, 0.000, 0.500) x4